## Rb3Ge2Pt4 (GGA-PBE)

Data for an optimized crystal structure of Rb3Ge2Pt4.

a = 4.1665 Å, b = 6.8789 Å, c = 9.5149 Å
α = 111.07°, β = 90.00°, γ = 107.63°
Atoms (fractional coordinates):
Rb 0.3706 0.7412 0.6268
Rb 0.0000 0.0000 0.0000
Rb 0.6294 0.2588 0.3732
Ge 0.3292 0.6583 0.2179
Ge 0.6708 0.3417 0.7821
Pt 0.7400 0.4799 0.0855
Pt 0.0843 0.1685 0.6328
Pt 0.9157 0.8315 0.3672
Pt 0.2600 0.5201 0.9145

Summary:
As for the space group: C2/m. The formation enthalpy at 0 K is -266 kJ/mol of formula units.

## Rb3Ge5Pt6 (GGA-PBE)

Data for an optimized crystal structure of Rb3Ge5Pt6.

a = 4.2459 Å, b = 13.2451 Å, c = 13.1826 Å
α = 90.00°, β = 90.00°, γ = 90.00°
Atoms (fractional coordinates):
Rb 0.0000 0.2692 0.6700
Rb 0.5000 0.7308 0.1700
Rb 0.5000 0.7308 0.8300
Rb 0.0000 0.2389 0.0000
Rb 0.5000 0.7611 0.5000
Rb 0.0000 0.2692 0.3300
Ge 0.0000 0.4767 0.8851
Ge 0.0000 0.9063 0.6654
Ge 0.0000 0.8921 0.0000
Ge 0.5000 0.5233 0.6149
Ge 0.5000 0.1079 0.5000
Ge 0.0000 0.4767 0.1149
Ge 0.5000 0.5233 0.3851
Ge 0.0000 0.9063 0.3346
Ge 0.5000 0.0937 0.8346
Ge 0.5000 0.0937 0.1654
Pt 0.0000 0.9925 0.8357
Pt 0.5000 0.0075 0.6643
Pt 0.5000 0.4537 0.7953
Pt 0.5000 0.4726 0.0000
Pt 0.0000 0.5274 0.5000
Pt 0.0000 0.5463 0.7047
Pt 0.0000 0.5463 0.2953
Pt 0.5000 0.9937 0.0000
Pt 0.0000 0.9925 0.1643
Pt 0.5000 0.4537 0.2047
Pt 0.0000 0.0063 0.5000
Pt 0.5000 0.0075 0.3357

Summary:
As for the space group: Pmmn. The formation enthalpy at 0 K is -528 kJ/mol of formula units.